The following is a PBE with a Hubbard U calculation of a relaxed Mn2B2PbO7 crystal, from Alexandria via LeMat-Bulk.

Output
Magnetic moment: 8.00 μB per cell
Uncorrected energy: -7.31 eV per atom
Calculated density: 3.86 g/cm³

Structure (CIF):
```
data_Mn2B2PbO7
_cell_length_a 5.1413
_cell_length_b 5.1413
_cell_length_c 8.9691
_cell_angle_alpha 73.34
_cell_angle_beta 73.34
_cell_angle_gamma 60.00
_space_group_name_H-M_alt 'P 1'
_space_group_IT_number 1
loop_
_space_group_symop_operation_xyz
'x,y,z'
loop_
_atom_site_label
_atom_site_fract_x
_atom_site_fract_y
_atom_site_fract_z
Mn1 0.5716 0.5716 0.2853
Mn2 0.4284 0.4284 0.7147
B1 0.7322 0.7322 0.8035
B2 0.2678 0.2678 0.1965
Pb1 0.0000 0.0000 0.0000
O1 0.2926 0.9887 0.1930
O2 0.9887 0.5256 0.1930
O3 0.5256 0.2926 0.1930
O4 0.5000 0.5000 0.5000
O5 0.7074 0.4744 0.8070
O6 0.4744 0.0113 0.8070
O7 0.0113 0.7074 0.8070
```